No. 1
The following is a GGA-PBE calculation of a relaxed AgPbO3 crystal, from the Open Quantum Materials Database.

Computed properties:
E: -22.5 eV/cell

Lattice parameters (Å, degrees): 4.0382 4.0382 4.2314 90.00 90.00 90.00
Space group P4mm (No. 99)
Symmetry-distinct sites (fractional):
1 Ag 0.0000 0.0000 0.0000 [1 per cell]
2 Pb 0.5000 0.5000 0.4314 [1 per cell]
3 O 0.0000 0.0000 0.5107 [1 per cell]
4 O 0.0000 0.5000 0.0792 [2 per cell]

=====

No. 2
The following is a GGA-PBE calculation of a relaxed NaHgAsO4 crystal, from the Open Quantum Materials Database.

Computed properties:
ΔE to the lowest computed polymorph: 0.000 eV per atom

Lattice parameters (Å, degrees): 5.9616 9.5253 6.6914 90.00 90.00 90.00
Space group Cmcm (No. 63)
Symmetry-distinct sites (fractional):
1 Na 0.0000 0.0000 0.0000 [4 per cell]
2 Hg 0.0000 0.3086 0.2500 [4 per cell]
3 As 0.0000 0.3615 0.7500 [4 per cell]
4 O 0.0000 0.2425 0.5540 [8 per cell]
5 O 0.2312 0.4669 0.7500 [8 per cell]

=====

No. 3
The following is a GGA-PBE calculation of a relaxed KRb2Cu7 crystal, from the Open Quantum Materials Database.

Computed properties:
E: -52.9 eV/cell

Lattice parameters (Å, degrees): 5.5369 11.8359 6.6182 90.00 90.00 90.00
Space group Cmmm (No. 65)
Symmetry-distinct sites (fractional):
1 K 0.0000 0.0000 0.0000 [2 per cell]
2 Rb 0.0000 0.1600 0.5000 [4 per cell]
3 Cu 0.0000 0.3955 0.1823 [8 per cell]
4 Cu 0.0000 0.5000 0.5000 [2 per cell]
5 Cu 0.2500 0.2500 0.0000 [4 per cell]

=====

No. 4
The following is a GGA-PBE calculation of a relaxed TaInFePt crystal, from the Open Quantum Materials Database.

Computed properties:
ΔE to the lowest computed polymorph: 0.273 eV per atom
total moment: 2.3 μB/f.u.

Lattice parameters (Å, degrees): 6.4429 6.4429 6.4429 90.00 90.00 90.00
Space group F-43m (No. 216)
Symmetry-distinct sites (fractional):
1 Ta 0.0000 0.0000 0.0000 [4 per cell]
2 In 0.2500 0.2500 0.2500 [4 per cell]
3 Fe 0.0000 0.0000 0.5000 [4 per cell]
4 Pt 0.2500 0.2500 0.7500 [4 per cell]

=====

No. 5
The following is a GGA-PBE calculation of a relaxed PrCuSbP crystal, from the Open Quantum Materials Database.

Computed properties:
ΔE to the lowest computed polymorph: 0.000 eV per atom
total moment: 0.0 μB/f.u.

Lattice parameters (Å, degrees): 4.1145 4.1145 10.1446 90.00 90.00 90.00
Space group P4/nmm (No. 129, origin choice 2)
Symmetry-distinct sites (fractional):
1 Pr 0.2500 0.2500 0.2370 [2 per cell]
2 Cu 0.2500 0.7500 0.0000 [2 per cell]
3 Sb 0.2500 0.7500 0.5000 [2 per cell]
4 P 0.2500 0.2500 0.8638 [2 per cell]

=====

No. 6
The following is a GGA-PBE calculation of a relaxed Sr2YPtN6 crystal, from the Open Quantum Materials Database.

Computed properties:
E: -125.6 eV/cell
total moment: 7.0 μB/f.u.

Lattice parameters (Å, degrees): 10.2837 5.9013 6.0967 90.00 125.22 90.00
Space group C2/m (No. 12)
Symmetry-distinct sites (fractional):
1 Sr 0.2438 0.0000 0.2387 [4 per cell]
2 Y 0.0000 0.0000 0.5000 [2 per cell]
3 Pt 0.0000 0.5000 0.0000 [2 per cell]
4 N 0.0399 0.2629 0.8066 [8 per cell]
5 N 0.2328 0.5000 0.3059 [4 per cell]

=====

No. 7
The following is a GGA-PBE calculation of a relaxed YCuNiB crystal, from the Open Quantum Materials Database.

Computed properties:
ΔE to the lowest computed polymorph: 0.081 eV per atom
total moment: 0.0 μB/f.u.

Lattice parameters (Å, degrees): 6.0497 6.0497 6.0497 90.00 90.00 90.00
Space group F-43m (No. 216)
Symmetry-distinct sites (fractional):
1 Y 0.0000 0.0000 0.0000 [4 per cell]
2 Cu 0.2500 0.2500 0.2500 [4 per cell]
3 Ni 0.2500 0.2500 0.7500 [4 per cell]
4 B 0.0000 0.0000 0.5000 [4 per cell]

=====

No. 8
The following is a GGA-PBE calculation of a relaxed Sc2Co3Si5 crystal, from the Open Quantum Materials Database.

Computed properties:
ΔE to the lowest computed polymorph: 0.000 eV per atom
total moment: 0.0 μB/f.u.

Lattice parameters (Å, degrees): 10.4229 11.2052 5.3256 90.00 118.01 90.00
Space group C2/c (No. 15)
Symmetry-distinct sites (fractional):
1 Sc 0.2317 0.1402 0.2357 [8 per cell]
2 Co 0.0000 0.4983 0.7500 [4 per cell]
3 Co 0.0961 0.1404 0.6279 [8 per cell]
4 Si 0.0000 0.0144 0.2500 [4 per cell]
5 Si 0.0000 0.2735 0.2500 [4 per cell]
6 Si 0.0000 0.2915 0.7500 [4 per cell]
7 Si 0.1706 0.4042 0.1706 [8 per cell]

=====

No. 9
The following is a GGA-PBE calculation of a relaxed TmOsAu crystal, from the Open Quantum Materials Database.

Computed properties:
energy of formation from the pure elements: 0.38 eV/atom
ΔE to the lowest computed polymorph: 0.000 eV per atom
total moment: 0.7 μB/f.u.

Lattice parameters (Å, degrees): 6.3978 6.3978 6.3978 90.00 90.00 90.00
Space group F-43m (No. 216)
Symmetry-distinct sites (fractional):
1 Tm 0.0000 0.0000 0.0000 [4 per cell]
2 Os 0.0000 0.0000 0.5000 [4 per cell]
3 Au 0.2500 0.2500 0.7500 [4 per cell]

=====

No. 10
The following is a GGA-PBE calculation of a relaxed LuBr crystal, from the Open Quantum Materials Database.

Computed properties:
E: -28.1 eV/cell
total moment: 0.0 μB/f.u.

Lattice parameters (Å, degrees): 5.7623 5.7623 5.7623 90.00 90.00 90.00
Space group Fm-3m (No. 225)
Symmetry-distinct sites (fractional):
1 Lu 0.0000 0.0000 0.0000 [4 per cell]
2 Br 0.0000 0.0000 0.5000 [4 per cell]

=====

No. 11
The following is a GGA-PBE calculation of a relaxed Sr2CuAgAs2 crystal, from the Open Quantum Materials Database.

Computed properties:
E: -23.9 eV/cell

Lattice parameters (Å, degrees): 4.4459 4.4459 8.4823 90.00 90.00 120.00
Space group P-6m2 (No. 187)
Symmetry-distinct sites (fractional):
1 Sr 0.0000 0.0000 0.2474 [2 per cell]
2 Cu 0.3333 0.6667 0.0000 [1 per cell]
3 Ag 0.6667 0.3333 0.5000 [1 per cell]
4 As 0.3333 0.6667 0.5000 [1 per cell]
5 As 0.6667 0.3333 0.0000 [1 per cell]

=====

No. 12
The following is a GGA-PBE calculation of a relaxed SnW3CN crystal, from the Open Quantum Materials Database.

Computed properties:
E: -116.6 eV/cell
total moment: 0.0 μB/f.u.

Lattice parameters (Å, degrees): 3.2047 3.2047 18.1856 90.00 90.00 120.00
Space group P-3m1 (No. 164)
Symmetry-distinct sites (fractional):
1 Sn 0.0000 0.0000 0.2464 [2 per cell]
2 W 0.0000 0.0000 0.0000 [1 per cell]
3 W 0.0000 0.0000 0.5000 [1 per cell]
4 W 0.3333 0.6667 0.1211 [2 per cell]
5 W 0.3333 0.6667 0.3730 [2 per cell]
6 C 0.3333 0.6667 0.5701 [2 per cell]
7 N 0.3333 0.6667 0.9369 [2 per cell]